The following is a DFT calculation (PBE) of a geometry-optimized SrCa2YRu structure. Values from VASP.

Results
- SG: No. 123
- Calculated formation energy: 0.01 eV per atom

Quantum ESPRESSO input file:
```
&SYSTEM
  ibrav = 0, nat = 5, ntyp = 4
/
ATOMIC_SPECIES
Sr 87.62 Sr.upf
Ca 40.08 Ca.upf
Y 88.91 Y.upf
Ru 101.07 Ru.upf
CELL_PARAMETERS angstrom
5.708 0.000 0.000
0.000 5.708 0.000
0.000 0.000 5.364
ATOMIC_POSITIONS angstrom
Sr 0.000 0.000 0.000
Ca 0.000 2.854 2.682
Ca 2.854 0.000 2.682
Y 2.854 2.854 0.000
Ru 2.854 2.854 2.682
```

=====

The following is a DFT calculation (PBE) of a geometry-optimized La3Zn3Ni structure. Values from VASP.

Results
- SG: No. 44
- Calculated formation energy: -0.32 eV per atom

Quantum ESPRESSO input file:
```
&SYSTEM
  ibrav = 0, nat = 14, ntyp = 3
/
ATOMIC_SPECIES
La 138.91 La.upf
Zn 65.41 Zn.upf
Ni 58.69 Ni.upf
CELL_PARAMETERS angstrom
3.829 0.000 0.000
0.000 4.594 0.000
0.000 0.000 19.562
ATOMIC_POSITIONS angstrom
La 0.000 0.000 0.000
La 0.000 0.000 7.186
La 0.000 2.297 3.826
La 1.914 0.000 13.607
La 1.914 2.297 9.781
La 1.914 2.297 16.967
Zn 0.000 0.000 10.835
Zn 0.000 0.000 16.097
Zn 0.000 2.297 12.300
Zn 1.914 0.000 2.519
Zn 1.914 2.297 1.054
Zn 1.914 2.297 6.316
Ni 0.000 2.297 14.849
Ni 1.914 0.000 5.068
```

=====

The following is a DFT calculation (PBE) of a geometry-optimized MgMnCd2 structure. Values from VASP.

Results
- SG: No. 123
- Calculated formation energy: 0.11 eV per atom

Quantum ESPRESSO input file:
```
&SYSTEM
  ibrav = 0, nat = 4, ntyp = 3
/
ATOMIC_SPECIES
Mg 24.30 Mg.upf
Mn 54.94 Mn.upf
Cd 112.41 Cd.upf
CELL_PARAMETERS angstrom
4.536 0.000 0.000
0.000 4.536 0.000
0.000 0.000 3.736
ATOMIC_POSITIONS angstrom
Mg 0.000 0.000 0.000
Mn 2.268 2.268 0.000
Cd 0.000 2.268 1.868
Cd 2.268 0.000 1.868
```

=====

The following is a DFT calculation (PBE) of a geometry-optimized Nd2MgPbO6 structure. Values from VASP.

Results
- Formation energy without anion corrections: -2.49 eV/atom
- SG: No. 14

Quantum ESPRESSO input file:
```
&SYSTEM
  ibrav = 0, nat = 20, ntyp = 4
/
ATOMIC_SPECIES
Nd 144.24 Nd.upf
Mg 24.30 Mg.upf
Pb 207.20 Pb.upf
O 16.00 O.upf
CELL_PARAMETERS angstrom
5.642 0.000 0.000
0.000 5.918 0.000
-5.558 0.000 8.204
ATOMIC_POSITIONS angstrom
Nd -0.097 0.363 2.046
Nd -2.876 2.596 6.148
Nd 2.960 3.322 2.056
Nd 0.181 5.555 6.158
Mg -2.779 0.000 4.102
Mg 0.000 2.959 0.000
Pb 2.821 0.000 0.000
Pb 0.042 2.959 4.102
O -4.492 1.196 7.681
O -1.713 1.764 3.579
O -3.879 4.105 7.680
O -1.100 4.772 3.578
O -2.073 0.292 6.112
O 0.706 2.667 2.010
O -0.622 3.251 6.194
O 2.157 5.626 2.092
O 1.184 1.146 4.625
O 3.963 1.813 0.523
O 1.798 4.155 4.624
O 4.576 4.723 0.523
```